{
  "formula": "TbNdZrSc",
  "functional": "GGA-PBE",
  "state": "relaxed",
  "lattice_angstrom": [[0.0000, 3.8255, 3.8255], [3.8255, 0.0000, 3.8255], [3.8255, 3.8255, 0.0000]],
  "species": ["Tb", "Nd", "Zr", "Sc"],
  "frac_coords": [[0.0000, 0.0000, 0.0000], [0.7500, 0.7500, 0.7500], [0.2500, 0.2500, 0.2500], [0.5000, 0.5000, 0.5000]],
  "space_group": "F-43m (216)",
  "crystal_system": "cubic",
  "rho_g_cm3": 6.52,
  "e_form_kj_per_mol_atoms": 20
}

{
  "formula": "SrLa3",
  "functional": "GGA-PBE",
  "state": "relaxed",
  "lattice_angstrom": [[6.1608, 3.5569, 1.2372], [-6.1608, 3.5569, 1.2372], [0.0000, -7.1138, 1.2372]],
  "species": ["Sr", "La", "La", "La"],
  "frac_coords": [[0.0000, 0.0000, 0.0000], [0.0000, 0.5000, 0.5000], [0.5000, 0.0000, 0.5000], [0.5000, 0.5000, 0.0000]],
  "space_group": "R-3m (166)",
  "crystal_system": "trigonal",
  "rho_g_cm3": 5.15,
  "e_form_kj_per_mol_atoms": 18
}

{
  "formula": "SrIn2Se",
  "functional": "GGA-PBE",
  "state": "relaxed",
  "lattice_angstrom": [[-4.4729, 4.4729, 3.1092], [4.4729, -4.4729, 3.1092], [4.4729, 4.4729, -3.1092]],
  "species": ["Sr", "Sr", "In", "In", "In", "In", "Se", "Se"],
  "frac_coords": [[0.0000, 0.0000, 0.0000], [0.7500, 0.2500, 0.5000], [0.1658, 0.1250, 0.5408], [0.3750, 0.8342, 0.9592], [0.5842, 0.6250, 0.4592], [0.8750, 0.4158, 0.0408], [0.2500, 0.7500, 0.5000], [0.5000, 0.5000, 0.0000]],
  "space_group": "I-42d (122)",
  "crystal_system": "tetragonal",
  "raw_formation_energy_ev_per_atom": -0.55,
  "rho_g_cm3": 5.29
}

{
  "formula": "TbPmMg2",
  "functional": "GGA-PBE",
  "state": "relaxed",
  "lattice_angstrom": [[0.0000, 3.8289, 3.8289], [3.8289, 0.0000, 3.8289], [3.8289, 3.8289, 0.0000]],
  "species": ["Tb", "Pm", "Mg", "Mg"],
  "frac_coords": [[0.0000, 0.0000, 0.0000], [0.5000, 0.5000, 0.5000], [0.2500, 0.2500, 0.2500], [0.7500, 0.7500, 0.7500]],
  "space_group": "Fm-3m (225)",
  "crystal_system": "cubic",
  "relative_energy_mev_per_atom": 0,
  "rho_g_cm3": 5.21,
  "e_form_kj_per_mol_atoms": -10
}

{
  "formula": "RbFeGeAu2",
  "functional": "GGA-PBE",
  "state": "relaxed",
  "lattice_angstrom": [[5.1319, 0.0000, 0.0000], [0.0000, 5.1319, 0.0000], [0.0000, 0.0000, 4.7880]],
  "species": ["Rb", "Fe", "Ge", "Au", "Au"],
  "frac_coords": [[0.0000, 0.0000, 0.0000], [0.5000, 0.5000, 0.0000], [0.5000, 0.5000, 0.5000], [0.0000, 0.5000, 0.5000], [0.5000, 0.0000, 0.5000]],
  "space_group": "P4/mmm (123)",
  "crystal_system": "tetragonal",
  "rho_g_cm3": 8.01,
  "e_form_kj_per_mol_atoms": 27
}

{
  "formula": "RbNp2GaO8",
  "functional": "GGA-PBE",
  "state": "relaxed",
  "lattice_angstrom": [[5.0595, 0.0000, 0.0000], [0.6141, 5.0309, 0.0000], [0.2580, 0.2211, 7.3712]],
  "species": ["Rb", "Np", "Np", "Ga", "O", "O", "O", "O", "O", "O", "O", "O"],
  "frac_coords": [[0.0000, 0.0000, 0.0000], [0.4891, 0.4888, 0.2725], [0.5109, 0.5112, 0.7275], [0.0000, 0.0000, 0.5000], [0.2010, 0.7931, 0.6891], [0.2095, 0.8010, 0.3105], [0.3220, 0.3245, 0.4895], [0.3463, 0.3503, 0.9319], [0.6537, 0.6497, 0.0681], [0.6780, 0.6755, 0.5105], [0.7905, 0.1990, 0.6895], [0.7990, 0.2069, 0.3109]],
  "space_group": "P-1 (2)",
  "crystal_system": "triclinic",
  "raw_formation_energy_ev_per_atom": -2.28,
  "rho_g_cm3": 6.70
}

Number 1: total energy -0.2154 Ha/atom. Number 2: total energy -0.1445 Ha/atom. Number 3: total energy -0.1180 Ha/atom. Number 4: total energy -0.1192 Ha/atom. Number 5: total energy -0.1413 Ha/atom. Number 6: total energy -0.2969 Ha/atom.